MgTeMoO6: optimized geometry, PBE with a Hubbard U.

Magnetization (μB/cell): 0.00
E_tot (eV per atom): -6.31
Offset from the most stable computed form (meV per atom): 0

Cell lengths 5.091, 5.364, 9.293 Å; angles 90.00, 90.00, 90.00 degrees
Space group P2_12_12 (No. 18)
Inequivalent atoms, fractional coordinates:
Mg 0.000 0.000 0.033
Te 0.000 0.500 0.236
Mo 0.000 0.500 0.698
O 0.152 0.285 0.586
O 0.221 0.670 0.101
O 0.233 0.174 0.202